No. 1
The following is a DFT calculation (GGA-PBE) of a relaxed In3NiCl6 crystal.

Calculated values
Crystal system: cubic
Symmetry: No. 225

Cell: 7.103 7.103 7.103 Å, 60.00 60.00 60.00°
Fractional coordinates of all 10 atoms:
In  0.000  0.000  0.000
In  0.250  0.250  0.250
In  0.750  0.750  0.750
Ni  0.500  0.500  0.500
Cl  0.260  0.260  0.740
Cl  0.260  0.740  0.260
Cl  0.260  0.740  0.740
Cl  0.740  0.260  0.260
Cl  0.740  0.260  0.740
Cl  0.740  0.740  0.260

No. 2
The following is a DFT calculation (GGA-PBE) of a relaxed Rb2InNiCl6 crystal.

Calculated values
Crystal system: tetragonal
Symmetry: No. 87

Cell: 7.164 7.164 7.164 Å, 120.04 120.04 89.94°
Fractional coordinates of all 10 atoms:
Rb  0.250  0.750  0.500
Rb  0.750  0.250  0.500
In  0.000  0.000  0.000
Ni  0.500  0.500  0.000
Cl  0.252  0.268  0.520
Cl  0.260  0.260  0.000
Cl  0.268  0.748  0.016
Cl  0.732  0.252  0.984
Cl  0.740  0.740  0.000
Cl  0.748  0.732  0.480

No. 3
The following is a DFT calculation (GGA-PBE) of a relaxed InRe2Cl6O2 crystal.

Calculated values
Crystal system: monoclinic
Symmetry: No. 12

Cell: 6.735 6.735 10.522 Å, 106.69 106.69 32.50°
Fractional coordinates of all 11 atoms:
In  0.000  0.000  0.000
Re  0.496  0.496  0.363
Re  0.504  0.504  0.637
Cl  0.345  0.345  0.448
Cl  0.363  0.363  0.151
Cl  0.376  0.376  0.760
Cl  0.624  0.624  0.240
Cl  0.637  0.637  0.849
Cl  0.655  0.655  0.552
O  0.004  0.004  0.637
O  0.996  0.996  0.363

No. 4
The following is a DFT calculation (GGA-PBE) of a relaxed InPdCl6 crystal.

Calculated values
Crystal system: triclinic
Symmetry: No. 1

Cell: 5.155 6.176 7.148 Å, 112.89 94.38 110.92°
Fractional coordinates of all 8 atoms:
In  0.000  0.000  0.000
Pd  0.970  0.001  0.498
Cl  0.123  0.323  0.844
Cl  0.124  0.318  0.378
Cl  0.470  0.000  0.495
Cl  0.485  0.002  0.993
Cl  0.816  0.685  0.619
Cl  0.821  0.677  0.152

| no. | E_tot (eV/atom) |
| --- | --- |
| 1 | -3.2597 |
| 2 | -3.4058 |
| 3 | -5.3302 |
| 4 | -3.0293 |